First-principles (GGA-PBEsol) data for an optimized crystal structure of CeFe4Cu3O12, as listed in Alexandria via LeMat-Bulk.

Structure (POSCAR):
```
CeFe4Cu3O12
1.0
-4.4658 -0.9362 4.1420
4.1700 -4.5179 0.4186
2.7226 5.4171 1.1037
Ce Fe Cu O
1 4 3 12
direct
0.0000 0.0000 0.0000 Ce
0.0000 0.5000 0.0000 Fe
0.5000 0.5000 0.5000 Fe
0.0000 0.0000 0.5000 Fe
0.5000 0.0000 0.0000 Fe
0.5000 0.0000 0.5000 Cu
0.0000 0.5000 0.5000 Cu
0.5000 0.5000 0.0000 Cu
0.3009 0.8223 0.1231 O
0.3009 0.1777 0.4786 O
0.6991 0.8223 0.5214 O
0.6991 0.1777 0.8769 O
0.1777 0.8769 0.6991 O
0.8223 0.5214 0.6991 O
0.1777 0.4786 0.3009 O
0.8223 0.1231 0.3009 O
0.4786 0.3009 0.1777 O
0.1231 0.3009 0.8223 O
0.8769 0.6991 0.1777 O
0.5214 0.6991 0.8223 O
```

Summary:
Raw total energy (eV/atom): -7.3242
Space group: Im-3 (204)
Magnetization (μB per formula unit): 4.82
Crystal system: cubic

***

First-principles (GGA-PBEsol) data for an optimized crystal structure of LaAg2, as listed in Alexandria via LeMat-Bulk.

Structure (POSCAR):
```
LaAg2
1.0
4.9907 0.0000 0.0000
0.0000 5.7632 0.0000
0.0000 0.0000 9.4219
Ag La
8 4
direct
0.7500 0.2267 0.6853 Ag
0.7500 0.8644 0.4932 Ag
0.2500 0.6356 0.9932 Ag
0.2500 0.2733 0.1853 Ag
0.7500 0.7267 0.8147 Ag
0.7500 0.3644 0.0068 Ag
0.2500 0.1356 0.5068 Ag
0.2500 0.7733 0.3147 Ag
0.7500 0.8707 0.1360 La
0.2500 0.6293 0.6360 La
0.7500 0.3707 0.3640 La
0.2500 0.1293 0.8640 La
```

Summary:
Raw total energy (eV/atom): -4.2029
Space group: Pnma (62)
Energy of formation (kJ per mole of atoms): -20.6
Magnetization (μB per formula unit): 0.00
Crystal system: orthorhombic

***

First-principles (GGA-PBEsol) data for an optimized crystal structure of SrTa2Tc, as listed in Alexandria via LeMat-Bulk.

Structure (POSCAR):
```
SrTa2Tc
1.0
3.2800 0.0000 0.0000
0.0000 3.8232 0.0000
0.0000 0.0000 7.1866
Sr Ta Tc
1 2 1
direct
0.5000 0.5000 0.7412 Sr
0.0000 0.0000 0.0841 Ta
0.5000 0.5000 0.2623 Ta
0.0000 0.0000 0.4124 Tc
```

Summary:
Raw total energy (eV/atom): -9.0415
Space group: Pmm2 (25)
Energy of formation (kJ per mole of atoms): 49.3
Magnetization (μB per formula unit): 0.00
Crystal system: orthorhombic

***

First-principles (GGA-PBEsol) data for an optimized crystal structure of SbPSCl2, as listed in Alexandria via LeMat-Bulk.

Structure (POSCAR):
```
SbPSCl2
1.0
4.5617 0.0000 0.0000
0.0000 4.5617 0.0000
0.0000 0.0000 4.9734
Sb S P Cl
1 1 1 2
direct
0.5000 0.5000 0.5000 Sb
0.0000 0.0000 0.0000 S
0.0000 0.0000 0.5000 P
0.0000 0.5000 0.0000 Cl
0.5000 0.0000 0.0000 Cl
```

Summary:
Raw total energy (eV/atom): -3.3449
Space group: P4/mmm (123)
Magnetization (μB per formula unit): 0.00
Crystal system: tetragonal

***

First-principles (GGA-PBEsol) data for an optimized crystal structure of TlCoSe2N, as listed in Alexandria via LeMat-Bulk.

Structure (POSCAR):
```
TlCoSe2N
1.0
-2.0717 3.5421 -0.3574
-3.4557 -2.3568 -3.3267
-3.0653 -1.3734 4.1571
Tl Co Se N
1 1 2 1
direct
0.0000 0.0000 0.0000 Tl
0.5000 0.5000 0.5000 Co
0.0000 0.0000 0.5000 Se
0.0000 0.5000 0.0000 Se
0.5000 0.0000 0.0000 N
```

Summary:
Raw total energy (eV/atom): -3.6135
Space group: P4/mmm (123)
Magnetization (μB per formula unit): 4.67
Crystal system: tetragonal

***

First-principles (GGA-PBEsol) data for an optimized crystal structure of GaAsO4, as listed in Alexandria via LeMat-Bulk.

Structure (POSCAR):
```
GaAsO4
1.0
-3.3466 7.4149 -1.2234
-0.2164 -5.8611 -7.2722
-5.6029 -1.4302 6.6581
Ga As O
9 9 36
direct
0.6625 0.3576 0.4257 Ga
0.0362 0.0147 0.2562 Ga
0.3048 0.6424 0.5743 Ga
0.6728 0.3675 0.9377 Ga
0.0215 0.9853 0.7438 Ga
0.3053 0.6325 0.0623 Ga
0.3611 0.0000 0.0000 Ga
0.9630 0.2958 0.6518 Ga
0.6672 0.7042 0.3482 Ga
0.6675 0.6879 0.8472 As
0.3270 0.3306 0.6751 As
0.6722 0.0114 0.2538 As
0.0040 0.6625 0.8271 As
0.3416 0.3375 0.1729 As
0.3622 0.0000 0.5000 As
0.9796 0.3121 0.1528 As
0.9964 0.6694 0.3249 As
0.6608 0.9886 0.7462 As
0.1220 0.8757 0.8195 O
0.2464 0.1243 0.1805 O
0.7791 0.5786 0.6726 O
0.8866 0.7745 0.9959 O
0.2005 0.4214 0.3274 O
0.8860 0.1110 0.1808 O
0.7750 0.8890 0.8192 O
0.5495 0.4655 0.8522 O
0.4419 0.2205 0.5069 O
0.1381 0.8869 0.3228 O
0.2512 0.1131 0.6772 O
0.4460 0.5504 0.6704 O
0.5558 0.7862 0.0254 O
0.7923 0.5876 0.1696 O
0.1239 0.2258 0.5032 O
0.4522 0.8824 0.8053 O
0.5698 0.1176 0.1947 O
0.8980 0.7742 0.4968 O
0.2047 0.4124 0.8304 O
0.2116 0.7661 0.9986 O
0.8754 0.0830 0.6861 O
0.7924 0.9170 0.3139 O
0.5464 0.4600 0.3526 O
0.4455 0.2339 0.0014 O
0.0864 0.5400 0.6474 O
0.4351 0.5499 0.1637 O
0.5442 0.7806 0.5296 O
0.7636 0.2194 0.4704 O
0.8852 0.4501 0.8363 O
0.1121 0.2255 0.0041 O
0.4541 0.8879 0.3128 O
0.5662 0.1121 0.6872 O
0.2214 0.7795 0.4931 O
0.0840 0.5345 0.1478 O
0.7696 0.2138 0.9746 O
0.8957 0.4496 0.3296 O
```

Summary:
Raw total energy (eV/atom): -6.3991
Space group: C2 (5)
Magnetization (μB per formula unit): 0.00
Crystal system: monoclinic

***

First-principles (GGA-PBEsol) data for an optimized crystal structure of Al3GaCu, as listed in Alexandria via LeMat-Bulk.

Structure (POSCAR):
```
Al3GaCu
1.0
-0.8986 0.2237 4.6504
-0.5638 -4.7066 0.1174
4.6215 -0.5307 0.9185
Cu Ga Al
1 1 3
direct
0.5000 0.5000 0.5000 Cu
0.0000 0.0000 0.0000 Ga
0.0000 0.5000 0.0000 Al
0.0000 0.0000 0.5000 Al
0.5000 0.0000 0.0000 Al
```

Summary:
Raw total energy (eV/atom): -3.1424
Space group: Pm-3m (221)
Energy of formation (kJ per mole of atoms): 81.8
Magnetization (μB per formula unit): 0.00
Crystal system: cubic

***

First-principles (GGA-PBEsol) data for an optimized crystal structure of KPCO2, as listed in Alexandria via LeMat-Bulk.

Structure (POSCAR):
```
KPCO2
1.0
4.3232 0.0000 0.0000
0.0000 4.3232 0.0000
0.0000 0.0000 6.3217
P K C O
1 1 1 2
direct
0.0000 0.0000 0.5000 P
0.0000 0.0000 0.0000 K
0.5000 0.5000 0.5000 C
0.0000 0.5000 0.0000 O
0.5000 0.0000 0.0000 O
```

Summary:
Raw total energy (eV/atom): -2.7538
Space group: P4/mmm (123)
Magnetization (μB per formula unit): 3.41
Crystal system: tetragonal

***

First-principles (GGA-PBEsol) data for an optimized crystal structure of LiZr2Pb, as listed in Alexandria via LeMat-Bulk.

Structure (POSCAR):
```
LiZr2Pb
1.0
-3.2447 -1.8981 1.9536
2.2343 -3.5925 0.2205
2.2124 4.0595 3.0254
Li Pb Zr
1 1 2
direct
0.5000 0.5000 0.0000 Li
0.2500 0.7500 0.5000 Pb
0.0000 0.0000 0.0000 Zr
0.7500 0.2500 0.5000 Zr
```

Summary:
Raw total energy (eV/atom): -6.0719
Space group: I-4m2 (119)
Energy of formation (kJ per mole of atoms): -3.4
Magnetization (μB per formula unit): 0.00
Crystal system: tetragonal

***

First-principles (GGA-PBEsol) data for an optimized crystal structure of ReMo, as listed in Alexandria via LeMat-Bulk.

Structure (POSCAR):
```
ReMo
1.0
3.1045 0.0000 0.0000
0.0000 3.1045 0.0000
0.0000 0.0000 3.1045
Mo Re
1 1
direct
0.5000 0.5000 0.5000 Mo
0.0000 0.0000 0.0000 Re
```

Summary:
Raw total energy (eV/atom): -12.4480
Space group: Pm-3m (221)
Distance to the lowest polymorph of the same formula (meV per atom): 0
Energy of formation (kJ per mole of atoms): 9.8
Magnetization (μB per formula unit): 0.00
Crystal system: cubic

***

First-principles (GGA-PBEsol) data for an optimized crystal structure of Mn3WBr, as listed in Alexandria via LeMat-Bulk.

Structure (POSCAR):
```
Mn3WBr
1.0
4.3039 0.0000 0.0000
0.0000 4.3039 0.0000
0.0000 0.0000 4.3039
Mn Br W
3 1 1
direct
0.0000 0.5000 0.0000 Mn
0.0000 0.0000 0.5000 Mn
0.5000 0.0000 0.0000 Mn
0.0000 0.0000 0.0000 Br
0.5000 0.5000 0.5000 W
```

Summary:
Raw total energy (eV/atom): -7.3686
Space group: Pm-3m (221)
Magnetization (μB per formula unit): 5.79
Crystal system: cubic

***

First-principles (GGA-PBEsol) data for an optimized crystal structure of BaZnPb2S, as listed in Alexandria via LeMat-Bulk.

Structure (POSCAR):
```
BaZnPb2S
1.0
-4.7141 -1.2193 -1.1236
0.9118 -4.7347 1.3125
-1.8437 1.3754 6.2426
Pb Zn S Ba
2 1 1 1
direct
0.0000 0.5000 0.0000 Pb
0.5000 0.0000 0.0000 Pb
0.0000 0.0000 0.0000 Zn
0.5000 0.5000 0.5000 S
0.0000 0.0000 0.5000 Ba
```

Summary:
Raw total energy (eV/atom): -3.2724
Space group: P4/mmm (123)
Magnetization (μB per formula unit): 0.00
Crystal system: tetragonal

***

What is the raw total energy in the twelfth record? -3.2724 eV/atom

***

Number 2 is which compound? LaAg2

***

What did the sixth record say?
First-principles (GGA-PBEsol) data for an optimized crystal structure of GaAsO4, as listed in Alexandria via LeMat-Bulk.

Structure (POSCAR):
```
GaAsO4
1.0
-3.3466 7.4149 -1.2234
-0.2164 -5.8611 -7.2722
-5.6029 -1.4302 6.6581
Ga As O
9 9 36
direct
0.6625 0.3576 0.4257 Ga
0.0362 0.0147 0.2562 Ga
0.3048 0.6424 0.5743 Ga
0.6728 0.3675 0.9377 Ga
0.0215 0.9853 0.7438 Ga
0.3053 0.6325 0.0623 Ga
0.3611 0.0000 0.0000 Ga
0.9630 0.2958 0.6518 Ga
0.6672 0.7042 0.3482 Ga
0.6675 0.6879 0.8472 As
0.3270 0.3306 0.6751 As
0.6722 0.0114 0.2538 As
0.0040 0.6625 0.8271 As
0.3416 0.3375 0.1729 As
0.3622 0.0000 0.5000 As
0.9796 0.3121 0.1528 As
0.9964 0.6694 0.3249 As
0.6608 0.9886 0.7462 As
0.1220 0.8757 0.8195 O
0.2464 0.1243 0.1805 O
0.7791 0.5786 0.6726 O
0.8866 0.7745 0.9959 O
0.2005 0.4214 0.3274 O
0.8860 0.1110 0.1808 O
0.7750 0.8890 0.8192 O
0.5495 0.4655 0.8522 O
0.4419 0.2205 0.5069 O
0.1381 0.8869 0.3228 O
0.2512 0.1131 0.6772 O
0.4460 0.5504 0.6704 O
0.5558 0.7862 0.0254 O
0.7923 0.5876 0.1696 O
0.1239 0.2258 0.5032 O
0.4522 0.8824 0.8053 O
0.5698 0.1176 0.1947 O
0.8980 0.7742 0.4968 O
0.2047 0.4124 0.8304 O
0.2116 0.7661 0.9986 O
0.8754 0.0830 0.6861 O
0.7924 0.9170 0.3139 O
0.5464 0.4600 0.3526 O
0.4455 0.2339 0.0014 O
0.0864 0.5400 0.6474 O
0.4351 0.5499 0.1637 O
0.5442 0.7806 0.5296 O
0.7636 0.2194 0.4704 O
0.8852 0.4501 0.8363 O
0.1121 0.2255 0.0041 O
0.4541 0.8879 0.3128 O
0.5662 0.1121 0.6872 O
0.2214 0.7795 0.4931 O
0.0840 0.5345 0.1478 O
0.7696 0.2138 0.9746 O
0.8957 0.4496 0.3296 O
```

Summary:
Raw total energy (eV/atom): -6.3991
Space group: C2 (5)
Magnetization (μB per formula unit): 0.00
Crystal system: monoclinic